Entry 1:
Computed, not measured: La6ScCd after structural relaxation at the PBE-GGA level of DFT.

Structure (POSCAR):
```
La6ScCd
1.0
6.540 0.008 0.000
3.263 5.681 0.025
3.256 1.904 8.472
La Cd Sc
6 1 1
Cartesian
7.783 5.903 6.089
4.057 3.847 6.069
5.277 1.689 2.409
7.694 1.633 6.077
9.002 3.745 2.429
5.366 5.959 2.421
0.000 0.000 0.000
6.530 3.796 4.249
```

Results
formation energy from the elements	2.610	eV/f.u.
space group	P-1, No. 2

***

Entry 2:
Computed, not measured: La2Sm4Mg after structural relaxation at the PBE-GGA level of DFT.

Structure (POSCAR):
```
La2Sm4Mg
1.0
-3.945 -3.198 -3.525
3.341 -5.619 1.359
-4.655 -0.153 10.816
Sm Mg La
8 2 4
Cartesian
-4.722 -1.248 6.502
-3.596 -4.553 -1.784
-2.197 -4.930 1.473
-3.062 -4.040 7.177
-0.112 -4.735 5.305
-1.663 -4.417 10.434
-0.537 -7.722 2.148
-5.147 -4.235 3.345
1.111 -4.734 2.299
-6.370 -4.236 6.351
-2.278 -2.382 3.954
-5.372 -2.826 9.727
-2.981 -6.588 4.696
0.113 -6.144 -1.078
```

Results
formation energy from the elements	0.549	eV/f.u.
space group	P2_1/m, No. 11

***

Entry 3:
Computed, not measured: Tl5GeBr8 after structural relaxation at the PBE-GGA level of DFT.

Structure (POSCAR):
```
Tl5GeBr8
1.0
9.370 0.000 -1.561
-5.461 6.720 -3.905
1.552 0.000 9.372
Br Tl Ge
8 5 1
Cartesian
-2.581 4.866 0.438
0.445 1.917 2.665
2.791 4.812 4.353
-1.244 4.803 5.026
5.883 1.858 6.487
1.112 1.909 6.701
5.041 1.855 1.321
2.579 4.862 -0.436
5.461 0.000 3.905
6.979 1.712 -1.169
2.393 1.710 -0.394
5.059 5.008 1.515
4.310 5.010 -3.075
0.776 3.360 4.686
```

Results
ΔE_f (raw)	-0.726	eV per atom
space group	I-4, No. 82

***

Entry 4:
Computed, not measured: ScInHg2 after structural relaxation at the PBE-GGA level of DFT.

Structure (POSCAR):
```
ScInHg2
1.0
-6.978 -6.267 -0.258
-5.852 -6.398 -3.585
-4.238 -8.298 -1.107
In Hg Sc
1 2 1
Cartesian
-4.267 -5.241 -1.238
-8.459 -10.389 -2.453
-0.075 -0.092 -0.022
-12.801 -15.722 -3.713
```

Results
formation energy from the elements	-0.558	eV/f.u.
space group	R-3m, No. 166

***

The mass density results, record by record, are as follows: 5.2 6.4 4.7 9.5 g cm⁻³.